Record 1
A plane-wave DFT calculation with GGA-PBE was carried out for a relaxed structure of BaSi2P.

Cell: 6.4039 6.4039 6.4039 Å, 108.01 108.01 112.44°
With the nearest neighbours (Å) after each atom.
Positions (direct):
Ba: 0.0000 0.0000 0.0000  8 Si 3.37-3.45, 2 P 3.56
Ba: 0.7500 0.2500 0.5000  8 Si 3.37-3.45, 2 P 3.56
Si: 0.2266 0.1250 0.6016  2 P 2.36
Si: 0.3750 0.7734 0.8984  2 P 2.36
Si: 0.5234 0.6250 0.3984  2 P 2.36
Si: 0.8750 0.4766 0.1016  2 P 2.36
P: 0.2500 0.7500 0.5000  4 Si 2.36
P: 0.5000 0.5000 0.0000  4 Si 2.36

Results
D(E_F) (states/eV per atom): 0.6575
Raw formation energy (meV per atom): -47.8
Total magnetization (μB per formula unit): 0.00
Space group: I-42d (122)

***

Record 2
A plane-wave DFT calculation with GGA-PBE was carried out for a relaxed structure of SrY3Ir.

Cell: 9.9002 9.9002 7.0573 Å, 101.83 101.83 72.83°
With the nearest neighbours (Å) after each atom.
Positions (direct):
Sr: 0.1101 0.8899 0.7500  4 Y 3.57-3.96, 2 Ir 3.81, 2 Sr 3.92
Sr: 0.2557 0.7443 0.2500  2 Ir 3.15
Sr: 0.7443 0.2557 0.7500  2 Ir 3.15
Sr: 0.8899 0.1101 0.2500  4 Y 3.57-3.96, 2 Ir 3.81, 2 Sr 3.92
Y: 0.0426 0.3601 0.6020  1 Ir 2.72
Y: 0.1002 0.3461 0.1004  2 Ir 2.80-2.91
Y: 0.3411 0.4532 0.5561  2 Ir 2.87-2.88
Y: 0.3461 0.1002 0.6004  2 Ir 2.80-2.91
Y: 0.3601 0.0426 0.1020  1 Ir 2.72
Y: 0.4532 0.3411 0.0561  2 Ir 2.87-2.88
Y: 0.5468 0.6589 0.9439  2 Ir 2.87-2.88
Y: 0.6399 0.9574 0.8980  1 Ir 2.72
Y: 0.6539 0.8998 0.3996  2 Ir 2.80-2.91
Y: 0.6589 0.5468 0.4439  2 Ir 2.87-2.88
Y: 0.8998 0.6539 0.8996  2 Ir 2.80-2.91
Y: 0.9574 0.6399 0.3980  1 Ir 2.72
Ir: 0.1891 0.5175 0.8843  5 Y 2.72-2.91
Ir: 0.4825 0.8109 0.6157  5 Y 2.72-2.91
Ir: 0.5175 0.1891 0.3843  5 Y 2.72-2.91
Ir: 0.8109 0.4825 0.1157  5 Y 2.72-2.91

Results
D(E_F) (states/eV per atom): 0.9938
Total magnetization (μB per formula unit): 0.00
E above lowest polymorph (meV/atom): 152
Space group: C2/c (15)

***

Record 3
A plane-wave DFT calculation with GGA-PBE was carried out for a relaxed structure of ZrInSn.

Cell: 8.0777 8.0777 4.2298 Å, 90.00 90.00 149.97°
With the nearest neighbours (Å) after each atom.
Positions (direct):
Zr: 0.0915 0.9085 0.7500  6 Sn 2.99-3.29, 4 In 3.21-3.28
Zr: 0.9085 0.0915 0.2500  6 Sn 2.99-3.29, 4 In 3.21-3.28
In: 0.2464 0.7536 0.2500  4 In 2.98, 4 Zr 3.21-3.28
In: 0.7536 0.2464 0.7500  4 In 2.98, 4 Zr 3.21-3.28
Sn: 0.4284 0.5716 0.7500  6 Zr 2.99-3.29, 2 Sn 3.08
Sn: 0.5716 0.4284 0.2500  6 Zr 2.99-3.29, 2 Sn 3.08

Results
D(E_F) (states/eV per atom): 0.5718
Total magnetization (μB per formula unit): 0.00
E above lowest polymorph (meV/atom): 0
Space group: Cmcm (63)

***

Record 4
A plane-wave DFT calculation with GGA-PBE was carried out for a relaxed structure of TaNb3Cr.

Cell: 4.5950 4.5950 4.5950 Å, 90.00 90.00 90.00°
With the nearest neighbours (Å) after each atom.
Positions (direct):
Ta: 0.0000 0.0000 0.0000  12 Nb 3.25
Nb: 0.0000 0.5000 0.5000  2 Cr 2.30
Nb: 0.5000 0.0000 0.5000  2 Cr 2.30
Nb: 0.5000 0.5000 0.0000  2 Cr 2.30
Cr: 0.5000 0.5000 0.5000  6 Nb 2.30

Results
D(E_F) (states/eV per atom): 1.0781
Total magnetization (μB per formula unit): 0.00
E above lowest polymorph (meV/atom): 0
Space group: Pm-3m (221)

***

- Which of these has the lowest D(E_F)?
  ZrInSn

***

Please write out number 3 again, unchanged.
A plane-wave DFT calculation with GGA-PBE was carried out for a relaxed structure of ZrInSn.

Cell: 8.0777 8.0777 4.2298 Å, 90.00 90.00 149.97°
With the nearest neighbours (Å) after each atom.
Positions (direct):
Zr: 0.0915 0.9085 0.7500  6 Sn 2.99-3.29, 4 In 3.21-3.28
Zr: 0.9085 0.0915 0.2500  6 Sn 2.99-3.29, 4 In 3.21-3.28
In: 0.2464 0.7536 0.2500  4 In 2.98, 4 Zr 3.21-3.28
In: 0.7536 0.2464 0.7500  4 In 2.98, 4 Zr 3.21-3.28
Sn: 0.4284 0.5716 0.7500  6 Zr 2.99-3.29, 2 Sn 3.08
Sn: 0.5716 0.4284 0.2500  6 Zr 2.99-3.29, 2 Sn 3.08

Results
D(E_F) (states/eV per atom): 0.5718
Total magnetization (μB per formula unit): 0.00
E above lowest polymorph (meV/atom): 0
Space group: Cmcm (63)

***

- Which of these has the lowest D(E_F)?
  ZrInSn

***

- Number 3 is which compound?
  ZrInSn